# Sc2TaTe2 | Alexandria via LeMat-Bulk | PBE | optimized geometry
data_Sc2TaTe2
_chemical_formula_sum 'Sc4 Ta2 Te4'
_cell_length_a 7.933
_cell_length_b 7.933
_cell_length_c 3.632
_cell_angle_alpha 90.00
_cell_angle_beta 90.00
_cell_angle_gamma 90.00
_space_group_name_H-M_alt 'P 1'
_space_group_IT_number 1
loop_
_space_group_symop_operation_xyz
'x,y,z'
loop_
_atom_site_label
_atom_site_type_symbol
_atom_site_fract_x
_atom_site_fract_y
_atom_site_fract_z
Sc1 Sc 0.357 0.857 0.000
Sc2 Sc 0.857 0.643 0.000
Sc3 Sc 0.643 0.143 0.000
Sc4 Sc 0.143 0.357 0.000
Te1 Te 0.162 0.662 0.500
Te2 Te 0.662 0.838 0.500
Te3 Te 0.838 0.338 0.500
Te4 Te 0.338 0.162 0.500
Ta1 Ta 0.000 0.000 0.000
Ta2 Ta 0.500 0.500 0.000
# D(E_F), states/eV/cell: 11.00
# Spin magnetization, μB per formula unit: 0.000
# E, eV for the cell shown: -62.7